(1)
VASP calculation (GGA-PBE) on Tc2OsF after structural relaxation.

Computed properties:
Total magnetization, Bohr magnetons per cell: 0.00
Calculated total energy, eV/cell: -64.272
E_form (uncorrected), eV per atom: 0.4243
ρ, g/cm³: 11.7

```
Tc2OsF
1.0
-0.520 -2.359 -5.831
4.331 -4.377 1.385
-0.176 -5.142 -1.320
Os Tc F
2 4 2
Cartesian
0.000 0.000 0.000
0.605 -5.434 -4.687
0.187 -3.243 -3.645
2.584 -4.379 -0.350
1.414 -6.500 -2.620
3.087 -9.633 -4.918
1.906 -3.368 -2.223
3.030 -6.443 -1.079
```

(2)
VASP calculation (GGA-PBE) on TcOs3F after structural relaxation.

Computed properties:
Total magnetization, Bohr magnetons per cell: 4.07
Calculated total energy, eV/cell: -34.531
E_form (uncorrected), eV per atom: 2.2792
ρ, g/cm³: 10.9

```
TcOs3F
1.0
4.711 0.000 0.000
0.000 4.711 0.000
0.000 0.000 4.711
Os Tc F
3 1 1
Cartesian
0.000 2.355 0.000
0.000 0.000 2.355
2.355 0.000 0.000
0.000 0.000 0.000
2.355 2.355 2.355
```

(3)
VASP calculation (GGA-PBE) on TcOsF3 after structural relaxation.

Computed properties:
Total magnetization, Bohr magnetons per cell: 4.75
Calculated total energy, eV/cell: -25.886
E_form (uncorrected), eV per atom: 0.2648
ρ, g/cm³: 7.5

```
TcOsF3
1.0
4.235 0.000 0.000
0.000 4.235 0.000
0.000 0.000 4.235
Os Tc F
1 1 3
Cartesian
0.000 0.000 0.000
2.118 2.118 2.118
0.000 2.118 0.000
0.000 0.000 2.118
2.118 0.000 0.000
```

- Which of these has the highest E_form (uncorrected)?
  TcOs3F

- What is the formula in the first record?
  Tc2OsF

- Among the records above, which one has the lowest E_form (uncorrected)?
  TcOsF3

- What is the E_form (uncorrected) in the first record?
  0.4243 eV per atom